ZrMnCl2 | PBE-GGA | relaxed

It has space group R-3m (No. 166, hexagonal axes), with a = 3.2407 Å, b = 3.2407 Å, c = 30.5816 Å, α = 90.00°, β = 90.00° and γ = 120.00°. Symmetry generates all atoms from Zr at (0.0000, 0.0000, 0.0000), Mn at (0.0000, 0.0000, 0.5000) and Cl at (0.0000, 0.0000, 0.2724).

As for the energy above the most stable polymorph in this dataset: 0.242 eV per atom. The calculation puts the total energy at -5.95 eV/atom. The uncorrected formation energy is -593.8 meV per atom.


ZrMnCl6 | PBE-GGA | relaxed

It has space group C2/m (No. 12), with a = 6.2466 Å, b = 12.6119 Å, c = 6.2440 Å, α = 90.00°, β = 108.18° and γ = 90.00°. Symmetry generates all atoms from Zr at (0.0000, 0.0000, 0.0000), Mn at (0.0000, 0.5000, 0.5000), Cl at (0.2444, 0.0000, 0.7558) and Cl at (0.2479, 0.1370, 0.2484).

As for the energy above the most stable polymorph in this dataset: 0.000 eV per atom. The calculation puts the total energy at -5.08 eV/atom. The uncorrected formation energy is -1484.4 meV per atom.


ZrMn2Cl | PBE-GGA | relaxed

It has space group Cm (No. 8), with a = 9.5891 Å, b = 3.0384 Å, c = 5.1697 Å, α = 90.00°, β = 111.99° and γ = 90.00°. Symmetry generates all atoms from Zr at (0.0000, 0.0000, 0.0000), Mn at (0.1969, 0.0000, 0.6303), Mn at (0.4464, 0.0000, 0.4951) and Cl at (0.2539, 0.5000, 0.1030).

As for the energy above the most stable polymorph in this dataset: 0.306 eV per atom. The calculation puts the total energy at -7.04 eV/atom. The uncorrected formation energy is 141.9 meV per atom.


ZrMn2Cl | PBE-GGA | relaxed

It has space group Cmmm (No. 65), with a = 3.8020 Å, b = 4.9339 Å, c = 8.0283 Å, α = 90.00°, β = 90.00° and γ = 90.00°. Symmetry generates all atoms from Zr at (0.0000, 0.0000, 0.0000), Mn at (0.0000, 0.5000, 0.2561) and Cl at (0.0000, 0.0000, 0.5000).

As for the energy above the most stable polymorph in this dataset: 0.222 eV per atom. The calculation puts the total energy at -7.13 eV/atom. The uncorrected formation energy is 57.5 meV per atom.


Which of these has the lowest uncorrected formation energy? ZrMnCl6


Which formula does entry 3 have? ZrMn2Cl


Among the records above, which one has the highest uncorrected formation energy? number 3